BeBPIrAu: relaxed, GGA-PBE.

Structure (CIF):
```
data_BeBPIrAu
_chemical_formula_sum 'Be1 B1 P1 Ir1 Au1'
_space_group_name_H-M_alt 'P m m 2'
_space_group_IT_number 25
_cell_length_a 3.1080
_cell_length_b 3.4241
_cell_length_c 6.5527
_cell_angle_alpha 90.00
_cell_angle_beta 90.00
_cell_angle_gamma 90.00
loop_
_space_group_symop_operation_xyz
'x,y,z'
'-x,-y,z'
'-x,y,z'
'x,-y,z'
loop_
_atom_site_label
_atom_site_type_symbol
_atom_site_fract_x
_atom_site_fract_y
_atom_site_fract_z
_atom_site_occupancy
Be1 Be 0.0000 0.0000 0.0000 1
B1 B 0.5000 0.0000 0.2738 1
P1 P 0.0000 0.0000 0.4420 1
Ir1 Ir 0.5000 0.5000 0.0776 1
Au1 Au 0.0000 0.5000 0.7062 1
```

Its density of states at the Fermi level is 1.44 states/eV per cell. The final energy is -28.05 eV for the cell shown. Its energy relative to the elements is -0.0190 eV per atom.

BeBPIrAu: relaxed, GGA-PBE.

Structure (CIF):
```
data_BeBPIrAu
_chemical_formula_sum 'Be1 B1 P1 Ir1 Au1'
_space_group_name_H-M_alt 'P 1'
_space_group_IT_number 1
_cell_length_a 3.8773
_cell_length_b 4.1349
_cell_length_c 4.3779
_cell_angle_alpha 91.52
_cell_angle_beta 96.42
_cell_angle_gamma 90.91
loop_
_space_group_symop_operation_xyz
'x,y,z'
loop_
_atom_site_label
_atom_site_type_symbol
_atom_site_fract_x
_atom_site_fract_y
_atom_site_fract_z
_atom_site_occupancy
Be1 Be 0.0000 0.0000 0.0000 1
B1 B 0.4630 0.3274 0.6882 1
P1 P 0.7984 0.5084 0.0038 1
Ir1 Ir 0.9540 0.2890 0.4963 1
Au1 Au 0.4367 0.8075 0.4328 1
```

Its density of states at the Fermi level is 1.38 states/eV per cell. The final energy is -27.57 eV for the cell shown. Its energy relative to the elements is 0.0772 eV per atom.

BeBPIrAu: relaxed, GGA-PBE.

Structure (CIF):
```
data_BeBPIrAu
_chemical_formula_sum 'Be1 B1 P1 Ir1 Au1'
_space_group_name_H-M_alt 'P 1'
_space_group_IT_number 1
_cell_length_a 3.3333
_cell_length_b 3.8055
_cell_length_c 6.7005
_cell_angle_alpha 92.50
_cell_angle_beta 104.17
_cell_angle_gamma 115.87
loop_
_space_group_symop_operation_xyz
'x,y,z'
loop_
_atom_site_label
_atom_site_type_symbol
_atom_site_fract_x
_atom_site_fract_y
_atom_site_fract_z
_atom_site_occupancy
Be1 Be 0.0000 0.0000 0.0000 1
B1 B 0.4936 0.8335 0.1570 1
P1 P 0.2659 0.1321 0.4028 1
Ir1 Ir 0.8334 0.4688 0.2003 1
Au1 Au 0.4978 0.2218 0.7714 1
```

Its density of states at the Fermi level is 1.47 states/eV per cell. The final energy is -28.04 eV for the cell shown. Its energy relative to the elements is -0.0170 eV per atom.

LaBeBAu2: relaxed, GGA-PBE.

Structure (CIF):
```
data_LaBeBAu2
_chemical_formula_sum 'La1 Be1 B1 Au2'
_space_group_name_H-M_alt 'P 4/m m m'
_space_group_IT_number 123
_space_group_name_Hall '-P 4 2'
_cell_length_a 4.7635
_cell_length_b 4.7635
_cell_length_c 3.9473
_cell_angle_alpha 90.00
_cell_angle_beta 90.00
_cell_angle_gamma 90.00
loop_
_atom_site_label
_atom_site_type_symbol
_atom_site_fract_x
_atom_site_fract_y
_atom_site_fract_z
_atom_site_occupancy
La1 La 0.0000 0.0000 0.0000 1
Be1 Be 0.5000 0.5000 0.0000 1
B1 B 0.5000 0.5000 0.5000 1
Au1 Au 0.0000 0.5000 0.5000 1
```

Its density of states at the Fermi level is 2.52 states/eV per cell. The final energy is -21.97 eV for the cell shown. Its energy relative to the elements is -0.0159 eV per atom.

Be2BMoAu: relaxed, GGA-PBE.

Structure (CIF):
```
data_Be2BMoAu
_chemical_formula_sum 'Be2 B1 Mo1 Au1'
_space_group_name_H-M_alt 'P 4/m m m'
_space_group_IT_number 123
_space_group_name_Hall '-P 4 2'
_cell_length_a 4.2944
_cell_length_b 4.2944
_cell_length_c 4.0519
_cell_angle_alpha 90.00
_cell_angle_beta 90.00
_cell_angle_gamma 90.00
loop_
_atom_site_label
_atom_site_type_symbol
_atom_site_fract_x
_atom_site_fract_y
_atom_site_fract_z
_atom_site_occupancy
Be1 Be 0.0000 0.5000 0.0000 1
B1 B 0.0000 0.0000 0.5000 1
Mo1 Mo 0.0000 0.0000 0.0000 1
Au1 Au 0.5000 0.5000 0.5000 1
```

Its density of states at the Fermi level is 3.33 states/eV per cell. The final energy is -21.64 eV for the cell shown. Its energy relative to the elements is 1.3206 eV per atom.

BeBAuN2: relaxed, GGA-PBE.

Structure (CIF):
```
data_BeBAuN2
_chemical_formula_sum 'Be1 B1 Au1 N2'
_space_group_name_H-M_alt 'P 4/m m m'
_space_group_IT_number 123
_space_group_name_Hall '-P 4 2'
_cell_length_a 3.9869
_cell_length_b 3.9869
_cell_length_c 4.6806
_cell_angle_alpha 90.00
_cell_angle_beta 90.00
_cell_angle_gamma 90.00
loop_
_atom_site_label
_atom_site_type_symbol
_atom_site_fract_x
_atom_site_fract_y
_atom_site_fract_z
_atom_site_occupancy
Be1 Be 0.0000 0.0000 0.0000 1
B1 B 0.5000 0.5000 0.0000 1
Au1 Au 0.0000 0.0000 0.5000 1
N1 N 0.0000 0.5000 0.5000 1
```

Its density of states at the Fermi level is 2.40 states/eV per cell. The final energy is -16.97 eV for the cell shown.

BeNb2BAu: relaxed, GGA-PBE.

Structure (CIF):
```
data_BeNb2BAu
_chemical_formula_sum 'Be1 Nb2 B1 Au1'
_space_group_name_H-M_alt 'P 4/m m m'
_space_group_IT_number 123
_space_group_name_Hall '-P 4 2'
_cell_length_a 4.3827
_cell_length_b 4.3827
_cell_length_c 4.1080
_cell_angle_alpha 90.00
_cell_angle_beta 90.00
_cell_angle_gamma 90.00
loop_
_atom_site_label
_atom_site_type_symbol
_atom_site_fract_x
_atom_site_fract_y
_atom_site_fract_z
_atom_site_occupancy
Be1 Be 0.0000 0.0000 0.0000 1
Nb1 Nb 0.0000 0.5000 0.0000 1
B1 B 0.5000 0.5000 0.5000 1
Au1 Au 0.0000 0.0000 0.5000 1
```

Its density of states at the Fermi level is 2.87 states/eV per cell. The final energy is -28.87 eV for the cell shown. Its energy relative to the elements is 0.9907 eV per atom.

BeBSbAu2: relaxed, GGA-PBE.

Structure (CIF):
```
data_BeBSbAu2
_chemical_formula_sum 'Be1 B1 Sb1 Au2'
_space_group_name_H-M_alt 'P 4/m m m'
_space_group_IT_number 123
_space_group_name_Hall '-P 4 2'
_cell_length_a 4.2323
_cell_length_b 4.2323
_cell_length_c 5.3272
_cell_angle_alpha 90.00
_cell_angle_beta 90.00
_cell_angle_gamma 90.00
loop_
_atom_site_label
_atom_site_type_symbol
_atom_site_fract_x
_atom_site_fract_y
_atom_site_fract_z
_atom_site_occupancy
Be1 Be 0.0000 0.0000 0.0000 1
B1 B 0.5000 0.5000 0.5000 1
Sb1 Sb 0.5000 0.5000 0.0000 1
Au1 Au 0.0000 0.5000 0.5000 1
```

Its density of states at the Fermi level is 1.99 states/eV per cell. The final energy is -17.36 eV for the cell shown.

Sc2BeBAu: relaxed, GGA-PBE.

Structure (CIF):
```
data_Sc2BeBAu
_chemical_formula_sum 'Sc2 Be1 B1 Au1'
_space_group_name_H-M_alt 'P 4/m m m'
_space_group_IT_number 123
_space_group_name_Hall '-P 4 2'
_cell_length_a 4.7225
_cell_length_b 4.7225
_cell_length_c 3.6330
_cell_angle_alpha 90.00
_cell_angle_beta 90.00
_cell_angle_gamma 90.00
loop_
_atom_site_label
_atom_site_type_symbol
_atom_site_fract_x
_atom_site_fract_y
_atom_site_fract_z
_atom_site_occupancy
Sc1 Sc 0.0000 0.5000 0.0000 1
Be1 Be 0.0000 0.0000 0.5000 1
B1 B 0.0000 0.0000 0.0000 1
Au1 Au 0.5000 0.5000 0.5000 1
```

Its density of states at the Fermi level is 4.24 states/eV per cell. The final energy is -28.14 eV for the cell shown. Its energy relative to the elements is -0.3586 eV per atom.

BeV2BAu: relaxed, GGA-PBE.

Structure (CIF):
```
data_BeV2BAu
_chemical_formula_sum 'Be1 V2 B1 Au1'
_space_group_name_H-M_alt 'P 4/m m m'
_space_group_IT_number 123
_space_group_name_Hall '-P 4 2'
_cell_length_a 4.2901
_cell_length_b 4.2901
_cell_length_c 3.4098
_cell_angle_alpha 90.00
_cell_angle_beta 90.00
_cell_angle_gamma 90.00
loop_
_atom_site_label
_atom_site_type_symbol
_atom_site_fract_x
_atom_site_fract_y
_atom_site_fract_z
_atom_site_occupancy
Be1 Be 0.0000 0.0000 0.0000 1
V1 V 0.0000 0.5000 0.0000 1
B1 B 0.0000 0.0000 0.5000 1
Au1 Au 0.5000 0.5000 0.5000 1
```

Its density of states at the Fermi level is 3.34 states/eV per cell. The final energy is -29.02 eV for the cell shown. Its energy relative to the elements is 0.5806 eV per atom.

YBeB2Au: relaxed, GGA-PBE.

Structure (CIF):
```
data_YBeB2Au
_chemical_formula_sum 'Y1 Be1 B2 Au1'
_space_group_name_H-M_alt 'P 4/m m m'
_space_group_IT_number 123
_space_group_name_Hall '-P 4 2'
_cell_length_a 4.6511
_cell_length_b 4.6511
_cell_length_c 5.4594
_cell_angle_alpha 90.00
_cell_angle_beta 90.00
_cell_angle_gamma 90.00
loop_
_atom_site_label
_atom_site_type_symbol
_atom_site_fract_x
_atom_site_fract_y
_atom_site_fract_z
_atom_site_occupancy
Y1 Y 0.0000 0.0000 0.0000 1
Be1 Be 0.5000 0.5000 0.5000 1
B1 B 0.0000 0.5000 0.0000 1
Au1 Au 0.0000 0.0000 0.5000 1
```

Its density of states at the Fermi level is 3.76 states/eV per cell. The final energy is -16.28 eV for the cell shown. Its energy relative to the elements is 2.1081 eV per atom.

Y2BeBAu: relaxed, GGA-PBE.

Structure (CIF):
```
data_Y2BeBAu
_chemical_formula_sum 'Y2 Be1 B1 Au1'
_space_group_name_H-M_alt 'P 4/m m m'
_space_group_IT_number 123
_space_group_name_Hall '-P 4 2'
_cell_length_a 5.1262
_cell_length_b 5.1262
_cell_length_c 3.6636
_cell_angle_alpha 90.00
_cell_angle_beta 90.00
_cell_angle_gamma 90.00
loop_
_atom_site_label
_atom_site_type_symbol
_atom_site_fract_x
_atom_site_fract_y
_atom_site_fract_z
_atom_site_occupancy
Y1 Y 0.0000 0.5000 0.0000 1
Be1 Be 0.0000 0.0000 0.5000 1
B1 B 0.0000 0.0000 0.0000 1
Au1 Au 0.5000 0.5000 0.5000 1
```

Its density of states at the Fermi level is 3.44 states/eV per cell. The final energy is -28.34 eV for the cell shown. Its energy relative to the elements is -0.3465 eV per atom.